Sc2NiI (GGA-PBE, optimized geometry); symmetry = R-3m (166); polymorph energy (0 for the lowest one) = 0.00 eV per formula unit; raw total energy = -21.68 eV per cell; formation energy from raw total energies = -0.421 eV/atom; total magnetization = 0.0 Bohr magnetons per cell
1.0
1.965 1.134 8.165
-1.965 1.134 8.165
0.000 -2.269 8.165
Sc Ni I
2 1 1
Direct
0.116 0.116 0.116
0.884 0.884 0.884
0.500 0.500 0.500
0.000 0.000 0.000

---

TaBePb (GGA-PBE, optimized geometry); symmetry = Imm2 (44); polymorph energy (0 for the lowest one) = 0.00 eV per formula unit; formation enthalpy at 0 K = 1.60 eV per formula unit; raw total energy = -17.69 eV per cell; total magnetization = 0.0 Bohr magnetons per cell
1.0
-1.512 1.800 5.125
1.512 -1.800 5.125
1.512 1.800 -5.125
Ta Be Pb
1 1 1
Direct
0.000 0.000 0.000
0.593 0.593 0.000
0.295 0.295 0.000

---

GaAg6 (GGA-PBE, optimized geometry); symmetry = R-3m (166); polymorph energy (0 for the lowest one) = 0.00 eV per formula unit; formation enthalpy at 0 K = 0.24 eV per formula unit; raw total energy = -19.89 eV per cell; total magnetization = 0.0 Bohr magnetons per cell
1.0
2.324 1.342 6.626
-2.324 1.342 6.626
0.000 -2.684 6.626
Ga Ag
1 6
Direct
0.000 0.000 0.000
0.140 0.140 0.140
0.287 0.287 0.287
0.429 0.429 0.429
0.571 0.571 0.571
0.713 0.713 0.713
0.860 0.860 0.860

---

SmAlBr6 (GGA-PBE, optimized geometry); symmetry = C2/m (12); raw total energy = -29.58 eV per cell; formation energy from raw total energies = -1.385 eV/atom; total magnetization = 0.0 Bohr magnetons per cell
1.0
3.363 -6.702 0.000
3.363 6.702 0.000
-1.959 0.000 6.418
Sm Al Br
1 1 6
Direct
0.000 0.000 0.000
0.500 0.500 0.500
0.147 0.419 0.280
0.260 0.260 0.736
0.419 0.147 0.280
0.581 0.853 0.720
0.740 0.740 0.264
0.853 0.581 0.720